# 1
Here is a geometry-optimized CsZr3Cl structure from Alexandria. Energies are from PBE.

Lattice parameters (Å, degrees): 5.072 5.072 5.072 90.00 90.00 90.00
Space group Pm-3m (No. 221)
Unique sites:
Cs: 0.000 0.000 0.000 x1
Zr: 0.000 0.500 0.500 x3
Cl: 0.500 0.500 0.500 x1

Computed properties:
Energy relative to the lowest polymorph listed for this composition, meV per atom: 0


# 2
Here is a geometry-optimized Y2TaTi structure from Alexandria. Energies are from PBE.

Lattice parameters (Å, degrees): 7.270 7.270 7.270 90.00 90.00 90.00
Space group Fm-3m (No. 225)
Unique sites:
Y: 0.250 0.250 0.250 x8
Ta: 0.000 0.000 0.000 x4
Ti: 0.000 0.000 0.500 x4

Computed properties:
ΔE_f, eV per atom: 0.500
Energy relative to the lowest polymorph listed for this composition, meV per atom: 0


# 3
Here is a geometry-optimized Na3CaTh3Te8 structure from Alexandria. Energies are from PBE.

Lattice parameters (Å, degrees): 8.9805 8.9805 22.7925 90.00 90.00 120.00
Space group R-3m (No. 166, hexagonal axes)
Unique sites:
Na: 0.0000 0.5000 0.0000 x9
Ca: 0.0000 0.0000 0.5000 x3
Th: 0.0000 0.5000 0.5000 x9
Te: 0.0000 0.0000 0.2481 x6
Te: 0.0073 0.5037 0.7540 x18

Computed properties:
Uncorrected energy, eV per atom: -4.741


# 4
Here is a geometry-optimized TaSb2Os structure from Alexandria. Energies are from PBE.

Lattice parameters (Å, degrees): 8.906 3.105 5.686 90.00 102.87 90.00
Space group C2/m (No. 12)
Unique sites:
Ta: 0.000 0.000 0.000 x2
Sb: 0.242 0.000 0.742 x4
Os: 0.000 0.500 0.500 x2

Computed properties:
Energy relative to the lowest polymorph listed for this composition, meV per atom: 429


no.,spin magnetization (μB/f.u.)
1,0.0
2,0.0
3,0.0
4,0.0